{
  "formula": "La3Ho4Tm8",
  "functional": "PBE",
  "state": "relaxed",
  "cell": [[-11.118, 2.510, -1.850], [4.463, -7.949, -1.613], [4.843, 0.719, 7.857]],
  "species": ["Tm", "Tm", "Tm", "Tm", "Tm", "Tm", "Tm", "Tm", "La", "La", "La", "Ho", "Ho", "Ho", "Ho"],
  "fractional_positions": [[0.500, 0.755, 0.245], [0.471, 0.740, 0.740], [0.529, 0.260, 0.260], [0.000, 0.365, 0.635], [0.010, 0.742, 0.742], [0.990, 0.258, 0.258], [0.500, 0.245, 0.755], [0.000, 0.635, 0.365], [0.500, 0.000, 0.500], [0.500, 0.500, 0.000], [0.500, 0.500, 0.500], [0.000, 0.000, 0.500], [0.500, 0.000, 0.000], [0.000, 0.500, 0.000], [0.000, 0.000, 0.000]],
  "final_energy_ev_per_fu": -62.96,
  "crystal_system": "monoclinic",
  "delta_e_f_ev_per_atom": 0.394,
  "total_magnetization_mub_per_fu": 0.003
}


{
  "formula": "SbOs2Se",
  "functional": "PBE",
  "state": "relaxed",
  "cell": [[-0.354, 1.051, -5.054], [-3.192, 0.497, -4.041], [-0.781, 4.603, 0.329]],
  "species": ["Sb", "Os", "Os", "Se"],
  "fractional_positions": [[0.487, 0.487, 0.545], [0.746, 0.746, 0.763], [0.018, 0.018, 0.022], [0.249, 0.249, 0.170]],
  "final_energy_ev_per_fu": -27.53,
  "crystal_system": "monoclinic",
  "total_magnetization_mub_per_fu": 0.000
}


{
  "formula": "BeIn2Os",
  "functional": "PBE",
  "state": "relaxed",
  "cell": [[3.438, 0.000, 0.000], [0.000, 3.438, 0.000], [0.000, 0.000, 5.674]],
  "species": ["In", "In", "Os", "Be"],
  "fractional_positions": [[0.000, 0.000, 0.994], [0.000, 0.000, 0.506], [0.500, 0.500, 0.250], [0.500, 0.500, 0.750]],
  "final_energy_ev_per_fu": -18.55,
  "crystal_system": "tetragonal",
  "delta_e_f_ev_per_atom": 0.472,
  "total_magnetization_mub_per_fu": 0.000
}


{
  "formula": "La4Pr3Tl2",
  "functional": "PBE",
  "state": "relaxed",
  "cell": [[-5.111, 2.473, 0.189], [-4.218, -1.942, -3.267], [-3.026, -6.864, 7.978]],
  "species": ["La", "La", "La", "La", "Pr", "Pr", "Pr", "Tl", "Tl"],
  "fractional_positions": [[0.000, 0.000, 0.659], [0.666, 0.667, 0.832], [0.334, 0.333, 0.168], [0.000, 0.000, 0.341], [0.333, 0.333, 0.521], [0.667, 0.667, 0.479], [0.000, 0.000, 0.000], [0.667, 0.666, 0.153], [0.333, 0.334, 0.847]],
  "final_energy_ev_per_fu": -40.09,
  "crystal_system": "monoclinic",
  "delta_e_f_ev_per_atom": -0.145,
  "total_magnetization_mub_per_fu": 0.839
}


{
  "formula": "LaZnCuPd3",
  "functional": "PBE",
  "state": "relaxed",
  "cell": [[5.906, 0.000, 0.000], [0.000, 5.762, 0.000], [0.000, -2.881, 6.518]],
  "species": ["Zn", "Zn", "La", "La", "Pd", "Pd", "Pd", "Pd", "Pd", "Pd", "Cu", "Cu"],
  "fractional_positions": [[0.250, 0.370, 0.740], [0.750, 0.630, 0.260], [0.250, 0.681, 0.362], [0.750, 0.319, 0.638], [0.000, 0.745, 0.000], [0.500, 0.745, 0.000], [0.750, 0.834, 0.668], [0.250, 0.166, 0.332], [0.500, 0.255, 0.000], [0.000, 0.255, 0.000], [0.250, 0.889, 0.779], [0.750, 0.111, 0.221]],
  "final_energy_ev_per_fu": -28.38,
  "crystal_system": "orthorhombic",
  "delta_e_f_ev_per_atom": -0.417,
  "total_magnetization_mub_per_fu": 0.000
}


{
  "formula": "CeY6Er3",
  "functional": "PBE",
  "state": "relaxed",
  "cell": [[-3.238, -5.378, 0.401], [8.100, -4.439, 5.879], [-8.339, 5.367, 4.640]],
  "species": ["Y", "Y", "Y", "Y", "Y", "Y", "Y", "Y", "Y", "Y", "Y", "Y", "Ce", "Ce", "Er", "Er", "Er", "Er", "Er", "Er"],
  "fractional_positions": [[0.867, 0.983, 0.569], [0.897, 0.051, 0.949], [0.013, 0.709, 0.631], [0.513, 0.631, 0.709], [0.367, 0.569, 0.983], [0.145, 0.690, 0.310], [0.513, 0.291, 0.369], [0.397, 0.949, 0.051], [0.645, 0.310, 0.690], [0.367, 0.017, 0.431], [0.013, 0.369, 0.291], [0.867, 0.431, 0.017], [0.212, 0.214, 0.786], [0.712, 0.786, 0.214], [0.930, 0.704, 0.931], [0.430, 0.296, 0.069], [0.930, 0.069, 0.296], [0.611, 0.616, 0.384], [0.430, 0.931, 0.704], [0.111, 0.384, 0.616]],
  "final_energy_ev_per_fu": -56.81,
  "crystal_system": "orthorhombic",
  "delta_e_f_ev_per_atom": 0.159,
  "total_magnetization_mub_per_fu": 0.739
}


{
  "formula": "HfZr6Cd",
  "functional": "PBE",
  "state": "relaxed",
  "cell": [[4.494, 0.000, 0.000], [0.000, 4.494, 0.000], [0.000, 0.000, 9.005]],
  "species": ["Cd", "Zr", "Zr", "Zr", "Zr", "Zr", "Zr", "Hf"],
  "fractional_positions": [[0.000, 0.000, 0.000], [0.000, 0.500, 0.252], [0.500, 0.000, 0.748], [0.500, 0.500, 0.500], [0.000, 0.500, 0.748], [0.500, 0.500, 0.000], [0.500, 0.000, 0.252], [0.000, 0.000, 0.500]],
  "final_energy_ev_per_fu": -62.36,
  "crystal_system": "tetragonal",
  "delta_e_f_ev_per_atom": -0.025,
  "total_magnetization_mub_per_fu": 0.000
}


{
  "formula": "MgCrW2",
  "functional": "PBE",
  "state": "relaxed",
  "cell": [[-4.831, -0.119, -1.818], [1.094, -3.007, 4.052], [-0.664, 1.963, 1.635]],
  "species": ["Mg", "W", "W", "Cr"],
  "fractional_positions": [[0.000, 0.500, 0.500], [0.000, 0.000, 0.000], [0.500, 0.500, 0.000], [0.500, 0.000, 0.500]],
  "final_energy_ev_per_fu": -34.96,
  "crystal_system": "orthorhombic",
  "delta_e_f_ev_per_atom": 0.540,
  "total_magnetization_mub_per_fu": 0.792
}